[1]
## Ce4CoCl3 (PBE)

Data for a relaxed Ce4CoCl3 crystal.

a b c (Å): 7.145 8.126 6.771
angles (deg): 90.00 107.06 90.00
Space group P2/c (No. 13)
One atom of each set of equivalent atoms:
Ce 0.212 0.122 0.024
Ce 0.244 0.378 0.494
Co 0.000 0.126 0.250
Cl 0.000 0.373 0.750
Cl 0.500 0.126 0.750
Cl 0.500 0.368 0.250

Values from the calculation:
- Uncorrected energy: -0.4159 Ry/atom
- Total moment: 0.357 μB per atom
- Formation energy from raw total energies: -1110.7 meV per atom
- Crystal system: monoclinic

***

[2]
## NdU2ReC4 (PBE)

Data for a relaxed NdU2ReC4 crystal.

a b c (Å): 3.603 11.701 11.786
angles (deg): 90.00 90.00 90.00
Space group Cmcm (No. 63)
One atom of each set of equivalent atoms:
Nd 0.000 0.113 0.250
U 0.000 0.371 0.044
Re 0.000 0.150 0.750
C 0.000 0.000 0.000
C 0.000 0.256 0.617
C 0.000 0.434 0.250

Values from the calculation:
- Uncorrected energy: -0.7071 Ry/atom
- Total moment: 0.112 μB per atom
- ΔE_f: -34 meV/atom
- Crystal system: orthorhombic

***

[3]
## TaGa2Ni (PBE)

Data for a relaxed TaGa2Ni crystal.

a b c (Å): 3.910 3.910 3.828
angles (deg): 90.00 90.00 90.00
Space group P4/mmm (No. 123)
One atom of each set of equivalent atoms:
Ta 0.000 0.000 0.000
Ga 0.000 0.500 0.500
Ni 0.500 0.500 0.000

Values from the calculation:
- Uncorrected energy: -0.4530 Ry/atom
- Total moment: 0.000 μB per atom
- ΔE_f: -242 meV/atom
- Crystal system: tetragonal

***

[4]
## Ba3GaSb (PBE)

Data for a relaxed Ba3GaSb crystal.

a b c (Å): 4.716 9.518 9.810
angles (deg): 85.90 89.92 75.83
Space group P-1 (No. 2)
One atom of each set of equivalent atoms:
Ba 0.049 0.405 0.168
Ba 0.240 0.020 0.816
Ba 0.386 0.715 0.433
Ga 0.218 0.071 0.441
Sb 0.392 0.715 0.074

Values from the calculation:
- Uncorrected energy: -0.2353 Ry/atom
- Total moment: 0.018 μB per atom
- Formation energy from raw total energies: -617.5 meV per atom
- Excess energy over the best structure of this formula in the dataset: 0.000 eV/atom
- Crystal system: triclinic

***

[5]
## MgTeSe (PBE)

Data for a relaxed MgTeSe crystal.

a b c (Å): 4.064 5.231 8.198
angles (deg): 103.87 94.52 91.98
Space group P-1 (No. 2)
One atom of each set of equivalent atoms:
Mg 0.197 0.216 0.421
Te 0.236 0.101 0.907
Se 0.264 0.691 0.363

Values from the calculation:
- Uncorrected energy: -0.2505 Ry/atom
- Total moment: 0.000 μB per atom
- Formation energy from raw total energies: -668.4 meV per atom
- Excess energy over the best structure of this formula in the dataset: 0.000 eV/atom
- Crystal system: triclinic

***

[6]
## CaPm5Dy2 (PBE)

Data for a relaxed CaPm5Dy2 crystal.

a b c (Å): 6.024 11.671 16.165
angles (deg): 90.00 90.00 90.00
Space group Imma (No. 74)
One atom of each set of equivalent atoms:
Ca 0.000 0.250 0.096
Pm 0.000 0.064 0.894
Pm 0.000 0.080 0.305
Pm 0.000 0.250 0.551
Dy 0.000 0.000 0.500
Dy 0.250 0.250 0.750

Values from the calculation:
- Uncorrected energy: -0.3026 Ry/atom
- Total moment: 0.000 μB per atom
- ΔE_f: 253 meV/atom
- Crystal system: orthorhombic

***

[7]
## LaNiRh2 (PBE)

Data for a relaxed LaNiRh2 crystal.

a b c (Å): 6.525 6.525 6.525
angles (deg): 90.00 90.00 90.00
Space group Fm-3m (No. 225)
One atom of each set of equivalent atoms:
La 0.000 0.000 0.000
Ni 0.000 0.000 0.500
Rh 0.250 0.250 0.250

Values from the calculation:
- Uncorrected energy: -0.4784 Ry/atom
- Total moment: 0.188 μB per atom
- ΔE_f: -155 meV/atom
- Excess energy over the best structure of this formula in the dataset: 0.356 eV/atom
- Crystal system: cubic

***

[8]
## La2DyAg2 (PBE)

Data for a relaxed La2DyAg2 crystal.

a b c (Å): 7.685 7.685 4.981
angles (deg): 90.00 90.00 90.00
Space group P4/mbm (No. 127)
One atom of each set of equivalent atoms:
La 0.168 0.332 0.000
Dy 0.000 0.000 0.500
Ag 0.131 0.631 0.500

Values from the calculation:
- Uncorrected energy: -0.3088 Ry/atom
- Total moment: 0.000 μB per atom
- ΔE_f: -169 meV/atom
- Excess energy over the best structure of this formula in the dataset: 0.022 eV/atom
- Crystal system: tetragonal

***

[9]
## CaSm3Dy (PBE)

Data for a relaxed CaSm3Dy crystal.

a b c (Å): 18.553 5.568 7.237
angles (deg): 90.00 112.91 90.00
Space group C2/m (No. 12)
One atom of each set of equivalent atoms:
Ca 0.109 0.000 0.108
Sm 0.002 0.500 0.263
Sm 0.109 0.000 0.610
Sm 0.201 0.500 0.451
Dy 0.199 0.500 0.947

Values from the calculation:
- Uncorrected energy: -0.2973 Ry/atom
- Total moment: 0.000 μB per atom
- ΔE_f: 108 meV/atom
- Excess energy over the best structure of this formula in the dataset: 0.000 eV/atom
- Crystal system: monoclinic

***

[10]
## MnAl2Fe (PBE)

Data for a relaxed MnAl2Fe crystal.

a b c (Å): 2.683 2.683 7.171
angles (deg): 90.00 90.00 90.00
Space group P4mm (No. 99)
One atom of each set of equivalent atoms:
Mn 0.000 0.000 0.000
Al 0.000 0.000 0.570
Al 0.500 0.500 0.242
Fe 0.500 0.500 0.801

Values from the calculation:
- Uncorrected energy: -0.4705 Ry/atom
- Total moment: 0.189 μB per atom
- ΔE_f: -121 meV/atom
- Crystal system: tetragonal

***

[11]
## CuHgS (PBE)

Data for a relaxed CuHgS crystal.

a b c (Å): 3.952 6.106 6.919
angles (deg): 105.24 106.32 108.52
Space group P-1 (No. 2)
One atom of each set of equivalent atoms:
Cu 0.163 0.456 0.367
Hg 0.231 0.080 0.882
S 0.299 0.403 0.696

Values from the calculation:
- Uncorrected energy: -0.2115 Ry/atom
- Total moment: 0.000 μB per atom
- Formation energy from raw total energies: -35.7 meV per atom
- Excess energy over the best structure of this formula in the dataset: 0.000 eV/atom
- Crystal system: triclinic

***

[12]
## SrCuTe2N (PBE)

Data for a relaxed SrCuTe2N crystal.

a b c (Å): 6.258 6.258 4.239
angles (deg): 90.00 90.00 90.00
Space group P4/mmm (No. 123)
One atom of each set of equivalent atoms:
Sr 0.000 0.000 0.000
Cu 0.500 0.500 0.500
Te 0.000 0.500 0.000
N 0.000 0.000 0.500

Values from the calculation:
- Uncorrected energy: -0.2095 Ry/atom
- Total moment: 0.007 μB per atom
- Formation energy from raw total energies: 1226.6 meV per atom
- Excess energy over the best structure of this formula in the dataset: 1.177 eV/atom
- Crystal system: tetragonal

***

What did the third record say?
## TaGa2Ni (PBE)

Data for a relaxed TaGa2Ni crystal.

a b c (Å): 3.910 3.910 3.828
angles (deg): 90.00 90.00 90.00
Space group P4/mmm (No. 123)
One atom of each set of equivalent atoms:
Ta 0.000 0.000 0.000
Ga 0.000 0.500 0.500
Ni 0.500 0.500 0.000

Values from the calculation:
- Uncorrected energy: -0.4530 Ry/atom
- Total moment: 0.000 μB per atom
- ΔE_f: -242 meV/atom
- Crystal system: tetragonal

***

The highest uncorrected energy belongs to which entry? SrCuTe2N

***

Number 1 is which compound? Ce4CoCl3